(1)
Material: CdBPt3
Method: DFT, GGA-PBE
State: optimized geometry

```
CdBPt3
1.0
2.858 1.650 5.432
-2.858 1.650 5.432
0.000 -3.300 5.432
Cd B Pt
2 2 6
direct
0.100 0.100 0.100
0.900 0.900 0.900
0.331 0.331 0.331
0.669 0.669 0.669
0.091 0.585 0.585
0.415 0.415 0.909
0.415 0.909 0.415
0.585 0.091 0.585
0.585 0.585 0.091
0.909 0.415 0.415
```

Summary:
As for the energy: -5.494 eV/atom. As for the magnetic moment: 0.00 μB per formula unit. Its space group is R-3m. The calculation puts the volume at 153.69 Å³ per cell.

(2)
Material: TaRe2B
Method: DFT, GGA-PBE
State: optimized geometry

```
TaRe2B
1.0
0.000 3.037 3.037
3.037 0.000 3.037
3.037 3.037 0.000
Ta Re B
1 2 1
direct
0.000 0.000 0.000
0.250 0.250 0.250
0.500 0.500 0.500
0.750 0.750 0.750
```

Summary:
As for the energy: -10.267 eV/atom. As for the magnetic moment: 0.01 μB per formula unit. Its space group is F-43m. The calculation puts the volume at 56.04 Å³ per cell.

Copy entry 1 word for word.
Material: CdBPt3
Method: DFT, GGA-PBE
State: optimized geometry

```
CdBPt3
1.0
2.858 1.650 5.432
-2.858 1.650 5.432
0.000 -3.300 5.432
Cd B Pt
2 2 6
direct
0.100 0.100 0.100
0.900 0.900 0.900
0.331 0.331 0.331
0.669 0.669 0.669
0.091 0.585 0.585
0.415 0.415 0.909
0.415 0.909 0.415
0.585 0.091 0.585
0.585 0.585 0.091
0.909 0.415 0.415
```

Summary:
As for the energy: -5.494 eV/atom. As for the magnetic moment: 0.00 μB per formula unit. Its space group is R-3m. The calculation puts the volume at 153.69 Å³ per cell.